# 1
Density functional theory data (PBE) for an optimized crystal structure of NaEr5Cd6.

Results
Magnetic moment in μB/f.u.: 0.0
N(E_F) in states/eV/cell: 9.69
Formation enthalpy at 0 K in eV per atom: -0.26
Crystal system: orthorhombic

Unit cell a=8.2819 b=8.2819 c=7.4170 alpha=90.00 beta=90.00 gamma=143.12
Last column: nearest neighbours and their distance in Å.
Element x y z (fractional)
Na 0.0000 0.0000 0.0000  8 Cd 3.20-3.21
Er 0.0000 0.0000 0.5000  8 Cd 3.21
Er 0.3333 0.6667 0.0000  8 Cd 3.20-3.21
Er 0.3343 0.6657 0.5000  8 Cd 3.20-3.23
Er 0.6657 0.3343 0.5000  8 Cd 3.20-3.23
Er 0.6667 0.3333 0.0000  8 Cd 3.20-3.21
Cd 0.1664 0.8336 0.2487  1 Na 3.20, 7 Er 3.20-3.23
Cd 0.1664 0.8336 0.7513  1 Na 3.20, 7 Er 3.20-3.23
Cd 0.5000 0.5000 0.2490  6 Er 3.20-3.21, 2 Na 3.21
Cd 0.5000 0.5000 0.7510  6 Er 3.20-3.21, 2 Na 3.21
Cd 0.8336 0.1664 0.2487  1 Na 3.20, 7 Er 3.20-3.23
Cd 0.8336 0.1664 0.7513  1 Na 3.20, 7 Er 3.20-3.23


# 2
Density functional theory data (PBE) for an optimized crystal structure of Na2ErCd5.

Results
Magnetic moment in μB/f.u.: 0.0
N(E_F) in states/eV/cell: 8.82
Formation enthalpy at 0 K in eV per atom: -0.13
Crystal system: tetragonal

Unit cell a=4.5972 b=4.5972 c=18.6821 alpha=90.00 beta=90.00 gamma=90.00
Last column: nearest neighbours and their distance in Å.
Element x y z (fractional)
Na 0.0000 0.0000 0.2481  4 Na 3.25, 8 Cd 3.30-3.35
Na 0.0000 0.0000 0.7519  4 Na 3.25, 8 Cd 3.30-3.35
Na 0.5000 0.5000 0.2519  4 Na 3.25, 8 Cd 3.30-3.35
Na 0.5000 0.5000 0.7481  4 Na 3.25, 8 Cd 3.30-3.35
Er 0.0000 0.0000 0.0000  12 Cd 3.23-3.25
Er 0.5000 0.5000 0.5000  12 Cd 3.23-3.25
Cd 0.0000 0.0000 0.5000  8 Cd 3.23, 4 Er 3.25
Cd 0.0000 0.5000 0.1216  6 Cd 3.23-3.25, 2 Er 3.23, 4 Na 3.30-3.35
Cd 0.0000 0.5000 0.3784  6 Cd 3.23-3.25, 2 Er 3.23, 4 Na 3.30-3.35
Cd 0.0000 0.5000 0.6216  6 Cd 3.23-3.25, 2 Er 3.23, 4 Na 3.30-3.35
Cd 0.0000 0.5000 0.8784  6 Cd 3.23-3.25, 2 Er 3.23, 4 Na 3.30-3.35
Cd 0.5000 0.0000 0.1216  6 Cd 3.23-3.25, 2 Er 3.23, 4 Na 3.30-3.35
Cd 0.5000 0.0000 0.3784  6 Cd 3.23-3.25, 2 Er 3.23, 4 Na 3.30-3.35
Cd 0.5000 0.0000 0.6216  6 Cd 3.23-3.25, 2 Er 3.23, 4 Na 3.30-3.35
Cd 0.5000 0.0000 0.8784  6 Cd 3.23-3.25, 2 Er 3.23, 4 Na 3.30-3.35
Cd 0.5000 0.5000 0.0000  8 Cd 3.23, 4 Er 3.25


# 3
Density functional theory data (PBE) for an optimized crystal structure of NaErCd17.

Results
Magnetic moment in μB/f.u.: 0.0
N(E_F) in states/eV/cell: 7.76
Formation enthalpy at 0 K in eV per atom: -0.06
Crystal system: trigonal

Unit cell a=7.7298 b=7.7298 c=7.7298 alpha=81.16 beta=81.16 gamma=81.16
Last column: nearest neighbours and their distance in Å.
Element x y z (fractional)
Na 0.0000 0.0000 0.0000  16 Cd 3.52-3.83
Er 0.3401 0.3401 0.3401  13 Cd 3.32-3.51
Cd 0.0513 0.0513 0.4421  6 Cd 2.89-3.17
Cd 0.0513 0.4421 0.0513  6 Cd 2.89-3.17
Cd 0.1340 0.6913 0.6913  9 Cd 2.91-3.17
Cd 0.3206 0.3206 0.7779  7 Cd 2.89-3.03
Cd 0.3206 0.7779 0.3206  7 Cd 2.89-3.03
Cd 0.3620 0.6635 0.9686  6 Cd 2.94-3.09
Cd 0.3620 0.9686 0.6635  6 Cd 2.94-3.09
Cd 0.4421 0.0513 0.0513  6 Cd 2.89-3.17
Cd 0.5596 0.5596 0.5596  4 Cd 2.92-2.97
Cd 0.6635 0.3620 0.9686  6 Cd 2.94-3.09
Cd 0.6635 0.9686 0.3620  6 Cd 2.94-3.09
Cd 0.6913 0.1340 0.6913  9 Cd 2.91-3.17
Cd 0.6913 0.6913 0.1340  9 Cd 2.91-3.17
Cd 0.7501 0.7501 0.7501  4 Cd 2.91-2.92
Cd 0.7779 0.3206 0.3206  7 Cd 2.89-3.03
Cd 0.9686 0.3620 0.6635  6 Cd 2.94-3.09
Cd 0.9686 0.6635 0.3620  6 Cd 2.94-3.09


# 4
Density functional theory data (PBE) for an optimized crystal structure of NaEr2Cd6.

Results
Magnetic moment in μB/f.u.: 0.0
N(E_F) in states/eV/cell: 6.21
Formation enthalpy at 0 K in eV per atom: -0.23
Crystal system: hexagonal

Unit cell a=8.6731 b=8.6731 c=3.3430 alpha=90.00 beta=90.00 gamma=120.00
Last column: nearest neighbours and their distance in Å.
Element x y z (fractional)
Na 0.0000 0.0000 0.0000  12 Cd 3.34, 2 Na 3.34
Er 0.3333 0.6667 0.0000  12 Cd 3.34, 2 Er 3.34
Er 0.6667 0.3333 0.0000  12 Cd 3.34, 2 Er 3.34
Cd 0.0000 0.3336 0.5000  3 Cd 2.89
Cd 0.0000 0.6664 0.5000  3 Cd 2.89
Cd 0.3336 0.0000 0.5000  3 Cd 2.89
Cd 0.3336 0.3336 0.5000  3 Cd 2.89
Cd 0.6664 0.0000 0.5000  3 Cd 2.89
Cd 0.6664 0.6664 0.5000  3 Cd 2.89


Repeat the first record exactly.
Density functional theory data (PBE) for an optimized crystal structure of NaEr5Cd6.

Results
Magnetic moment in μB/f.u.: 0.0
N(E_F) in states/eV/cell: 9.69
Formation enthalpy at 0 K in eV per atom: -0.26
Crystal system: orthorhombic

Unit cell a=8.2819 b=8.2819 c=7.4170 alpha=90.00 beta=90.00 gamma=143.12
Last column: nearest neighbours and their distance in Å.
Element x y z (fractional)
Na 0.0000 0.0000 0.0000  8 Cd 3.20-3.21
Er 0.0000 0.0000 0.5000  8 Cd 3.21
Er 0.3333 0.6667 0.0000  8 Cd 3.20-3.21
Er 0.3343 0.6657 0.5000  8 Cd 3.20-3.23
Er 0.6657 0.3343 0.5000  8 Cd 3.20-3.23
Er 0.6667 0.3333 0.0000  8 Cd 3.20-3.21
Cd 0.1664 0.8336 0.2487  1 Na 3.20, 7 Er 3.20-3.23
Cd 0.1664 0.8336 0.7513  1 Na 3.20, 7 Er 3.20-3.23
Cd 0.5000 0.5000 0.2490  6 Er 3.20-3.21, 2 Na 3.21
Cd 0.5000 0.5000 0.7510  6 Er 3.20-3.21, 2 Na 3.21
Cd 0.8336 0.1664 0.2487  1 Na 3.20, 7 Er 3.20-3.23
Cd 0.8336 0.1664 0.7513  1 Na 3.20, 7 Er 3.20-3.23